[1]
BeSeN2O | PBE | optimized geometry

Energy relative to the elements, uncorrected = 2.122 eV/atom
Theoretical density = 3.9 g/cm³
VASP energy = -3.64 eV/atom
Total moment = 0.23 μB per atom
Crystal system = tetragonal

Geometry as CIF:
```
data_BeSeN2O
_space_group_name_H-M_alt 'P 4/m m m'
_space_group_IT_number 123
_space_group_name_Hall '-P 4 2'
_cell_length_a 3.7329
_cell_length_b 3.7329
_cell_length_c 3.9855
_cell_angle_alpha 90.00
_cell_angle_beta 90.00
_cell_angle_gamma 90.00
loop_
_atom_site_label
_atom_site_fract_x
_atom_site_fract_y
_atom_site_fract_z
_atom_site_occupancy
Be1 0.0000 0.0000 0.0000 1
Se1 0.5000 0.5000 0.0000 1
N1 0.0000 0.5000 0.5000 1
O1 0.5000 0.5000 0.5000 1
```

=====

[2]
Ti5VRh6 | PBE | optimized geometry

Calculated formation energy = -0.72 eV per atom
Theoretical density = 8.5 g/cm³
VASP energy = -8.44 eV/atom
Total moment = 0.00 μB per atom
Crystal system = orthorhombic

Geometry as CIF:
```
data_Ti5VRh6
_space_group_name_H-M_alt 'I m m m'
_space_group_IT_number 71
_space_group_name_Hall '-I 2 2'
_cell_length_a 4.1764
_cell_length_b 6.9392
_cell_length_c 12.2203
_cell_angle_alpha 90.00
_cell_angle_beta 90.00
_cell_angle_gamma 90.00
loop_
_atom_site_label
_atom_site_fract_x
_atom_site_fract_y
_atom_site_fract_z
_atom_site_occupancy
Ti1 0.0000 0.0000 0.0000 1
Ti2 0.0000 0.0000 0.3605 1
Ti3 0.0000 0.5000 0.3148 1
V1 0.0000 0.5000 0.0000 1
Rh1 0.0000 0.2308 0.1667 1
Rh2 0.0000 0.2831 0.5000 1
```

=====

[3]
PuUTcPd | PBE | optimized geometry

Calculated formation energy = -0.05 eV per atom
Theoretical density = 14.2 g/cm³
VASP energy = -10.34 eV/atom
Total moment = 1.66 μB per atom
Crystal system = cubic

Geometry as CIF:
```
data_PuUTcPd
_space_group_name_H-M_alt 'F -4 3 m'
_space_group_IT_number 216
_space_group_name_Hall 'F -4 2 3'
_cell_length_a 6.8463
_cell_length_b 6.8463
_cell_length_c 6.8463
_cell_angle_alpha 90.00
_cell_angle_beta 90.00
_cell_angle_gamma 90.00
loop_
_atom_site_label
_atom_site_fract_x
_atom_site_fract_y
_atom_site_fract_z
_atom_site_occupancy
Pu1 0.0000 0.0000 0.0000 1
U1 0.0000 0.0000 0.5000 1
Tc1 0.2500 0.2500 0.7500 1
Pd1 0.2500 0.2500 0.2500 1
```

=====

[4]
AcInPdPt | PBE | optimized geometry

Calculated formation energy = -0.69 eV per atom
Theoretical density = 11.5 g/cm³
VASP energy = -5.21 eV/atom
Energy relative to the lowest polymorph listed for this composition = 0.153 eV per atom
Total moment = 0.00 μB per atom
Crystal system = cubic

Geometry as CIF:
```
data_AcInPdPt
_space_group_name_H-M_alt 'F -4 3 m'
_space_group_IT_number 216
_space_group_name_Hall 'F -4 2 3'
_cell_length_a 7.1834
_cell_length_b 7.1834
_cell_length_c 7.1834
_cell_angle_alpha 90.00
_cell_angle_beta 90.00
_cell_angle_gamma 90.00
loop_
_atom_site_label
_atom_site_fract_x
_atom_site_fract_y
_atom_site_fract_z
_atom_site_occupancy
Ac1 0.0000 0.0000 0.0000 1
In1 0.0000 0.0000 0.5000 1
Pd1 0.2500 0.2500 0.2500 1
Pt1 0.2500 0.2500 0.7500 1
```

=====

[5]
InSb3W | PBE | optimized geometry

Energy relative to the elements, uncorrected = 0.556 eV/atom
Theoretical density = 7.3 g/cm³
VASP energy = -5.06 eV/atom
Energy relative to the lowest polymorph listed for this composition = 0.000 eV per atom
Total moment = 0.00 μB per atom
Crystal system = cubic

Geometry as CIF:
```
data_InSb3W
_space_group_name_H-M_alt 'P m -3 m'
_space_group_IT_number 221
_space_group_name_Hall '-P 4 2 3'
_cell_length_a 5.3185
_cell_length_b 5.3185
_cell_length_c 5.3185
_cell_angle_alpha 90.00
_cell_angle_beta 90.00
_cell_angle_gamma 90.00
loop_
_atom_site_label
_atom_site_fract_x
_atom_site_fract_y
_atom_site_fract_z
_atom_site_occupancy
In1 0.0000 0.0000 0.0000 1
Sb1 0.0000 0.5000 0.5000 1
W1 0.5000 0.5000 0.5000 1
```

=====

[6]
YHo4Er | PBE | optimized geometry

Calculated formation energy = 0.02 eV per atom
Theoretical density = 8.2 g/cm³
VASP energy = -4.87 eV/atom
Energy relative to the lowest polymorph listed for this composition = 0.000 eV per atom
Total moment = 0.00 μB per atom
Crystal system = triclinic

Geometry as CIF:
```
data_YHo4Er
_space_group_name_H-M_alt 'P -1'
_space_group_IT_number 2
_cell_length_a 3.5313
_cell_length_b 6.1052
_cell_length_c 9.3284
_cell_angle_alpha 77.47
_cell_angle_beta 79.13
_cell_angle_gamma 73.26
loop_
_space_group_symop_operation_xyz
'x,y,z'
'-x,-y,-z'
loop_
_atom_site_label
_atom_site_fract_x
_atom_site_fract_y
_atom_site_fract_z
_atom_site_occupancy
Y1 0.0000 0.0000 0.0000 1
Ho1 0.3331 0.5021 0.8321 1
Ho2 0.3330 0.9987 0.3348 1
Er1 0.0000 0.5000 0.5000 1
```

=====

[7]
TiIr3O | PBE | optimized geometry

Energy relative to the elements, uncorrected = 1.899 eV/atom
Theoretical density = 10.8 g/cm³
VASP energy = -5.99 eV/atom
Energy relative to the lowest polymorph listed for this composition = 1.570 eV per atom
Total moment = 0.79 μB per atom
Crystal system = cubic

Geometry as CIF:
```
data_TiIr3O
_space_group_name_H-M_alt 'P m -3 m'
_space_group_IT_number 221
_space_group_name_Hall '-P 4 2 3'
_cell_length_a 4.6114
_cell_length_b 4.6114
_cell_length_c 4.6114
_cell_angle_alpha 90.00
_cell_angle_beta 90.00
_cell_angle_gamma 90.00
loop_
_atom_site_label
_atom_site_fract_x
_atom_site_fract_y
_atom_site_fract_z
_atom_site_occupancy
Ti1 0.0000 0.0000 0.0000 1
Ir1 0.0000 0.0000 0.5000 1
O1 0.5000 0.5000 0.5000 1
```

=====

[8]
Ac3Zn2Pd4 | PBE | optimized geometry

Calculated formation energy = -0.71 eV per atom
Theoretical density = 9.5 g/cm³
VASP energy = -4.67 eV/atom
Energy relative to the lowest polymorph listed for this composition = 0.030 eV per atom
Total moment = 0.00 μB per atom
Crystal system = monoclinic

Geometry as CIF:
```
data_Ac3Zn2Pd4
_space_group_name_H-M_alt 'C 1 2/m 1'
_space_group_IT_number 12
_cell_length_a 10.8059
_cell_length_b 4.4265
_cell_length_c 9.1761
_cell_angle_alpha 90.00
_cell_angle_beta 98.48
_cell_angle_gamma 90.00
loop_
_space_group_symop_operation_xyz
'x,y,z'
'-x,-y,-z'
'-x,y,-z'
'x,-y,z'
'x+1/2,y+1/2,z'
'-x+1/2,-y+1/2,-z'
'-x+1/2,y+1/2,-z'
'x+1/2,-y+1/2,z'
loop_
_atom_site_label
_atom_site_fract_x
_atom_site_fract_y
_atom_site_fract_z
_atom_site_occupancy
Ac1 0.0000 0.0000 0.0000 1
Ac2 0.1225 0.5000 0.3788 1
Zn1 0.1808 0.5000 0.7884 1
Pd1 0.0879 0.0000 0.6403 1
Pd2 0.2213 0.5000 0.0866 1
```

=====

Q: Among the records above, which one has the highest theoretical density?
A: PuUTcPd